Version a
## BeFeCu3 (PBE)

Data for a relaxed structure of BeFeCu3.

Summary:
**Magnetic moment**: 0.58 μB per atom

```
data_BeFeCu3
_cell_length_a 3.975
_cell_length_b 3.975
_cell_length_c 3.975
_cell_angle_alpha 90.00
_cell_angle_beta 90.00
_cell_angle_gamma 90.00
_symmetry_space_group_name_H-M 'P m -3 m'
_symmetry_Int_Tables_number 221
_symmetry_space_group_name_Hall '-P 4 2 3'
loop_
_atom_site_label
_atom_site_type_symbol
_atom_site_fract_x
_atom_site_fract_y
_atom_site_fract_z
_atom_site_occupancy
Be1 Be 0.000 0.000 0.000 1
Fe1 Fe 0.500 0.500 0.500 1
Cu1 Cu 0.000 0.000 0.500 1
```

=====

Version b
## BeFeCu3 (PBE)

Data for a relaxed structure of BeFeCu3.

Summary:
**Magnetic moment**: 0.61 μB per atom

```
data_BeFeCu3
_cell_length_a 4.395
_cell_length_b 4.395
_cell_length_c 4.395
_cell_angle_alpha 90.00
_cell_angle_beta 90.00
_cell_angle_gamma 90.00
_symmetry_space_group_name_H-M 'P m -3 m'
_symmetry_Int_Tables_number 221
_symmetry_space_group_name_Hall '-P 4 2 3'
loop_
_atom_site_label
_atom_site_type_symbol
_atom_site_fract_x
_atom_site_fract_y
_atom_site_fract_z
_atom_site_occupancy
Be1 Be 0.000 0.000 0.000 1
Fe1 Fe 0.500 0.500 0.500 1
Cu1 Cu 0.000 0.500 0.500 1
```

=====

Of them, the most stable is version a and the least stable is version b.

=====

Version a
## BeGaCu3 (PBE)

Data for a relaxed structure of BeGaCu3.

Summary:
**Magnetic moment**: 0.00 μB per atom

```
data_BeGaCu3
_cell_length_a 6.273
_cell_length_b 4.990
_cell_length_c 8.457
_cell_angle_alpha 90.00
_cell_angle_beta 116.25
_cell_angle_gamma 90.00
_symmetry_space_group_name_H-M 'P 1 21/c 1'
_symmetry_Int_Tables_number 14
loop_
_symmetry_equiv_pos_as_xyz
'x,y,z'
'-x,-y,-z'
'-x,y+1/2,-z+1/2'
'x,-y+1/2,z+1/2'
loop_
_atom_site_label
_atom_site_type_symbol
_atom_site_fract_x
_atom_site_fract_y
_atom_site_fract_z
_atom_site_occupancy
Be1 Be 0.182 0.130 0.042 1
Ga1 Ga 0.400 0.635 0.842 1
Cu1 Cu 0.005 0.107 0.237 1
Cu2 Cu 0.189 0.629 0.049 1
Cu3 Cu 0.393 0.133 0.855 1
```

=====

Version b
## BeGaCu3 (PBE)

Data for a relaxed structure of BeGaCu3.

Summary:
**Magnetic moment**: 0.00 μB per atom

```
data_BeGaCu3
_cell_length_a 5.8387
_cell_length_b 5.8387
_cell_length_c 4.2600
_cell_angle_alpha 90.00
_cell_angle_beta 90.00
_cell_angle_gamma 120.00
_symmetry_space_group_name_H-M 'P 63/m m c'
_symmetry_Int_Tables_number 194
_symmetry_space_group_name_Hall '-P 6c 2c'
loop_
_atom_site_label
_atom_site_type_symbol
_atom_site_fract_x
_atom_site_fract_y
_atom_site_fract_z
_atom_site_occupancy
Be1 Be 0.0000 0.0000 0.0000 1
Ga1 Ga 0.3333 0.6667 0.2500 1
Cu1 Cu 0.1900 0.3799 0.7500 1
```

=====

Version c
## BeGaCu3 (PBE)

Data for a relaxed structure of BeGaCu3.

Summary:
**Magnetic moment**: 0.00 μB per atom

```
data_BeGaCu3
_cell_length_a 4.423
_cell_length_b 4.423
_cell_length_c 4.423
_cell_angle_alpha 90.00
_cell_angle_beta 90.00
_cell_angle_gamma 90.00
_symmetry_space_group_name_H-M 'P m -3 m'
_symmetry_Int_Tables_number 221
_symmetry_space_group_name_Hall '-P 4 2 3'
loop_
_atom_site_label
_atom_site_type_symbol
_atom_site_fract_x
_atom_site_fract_y
_atom_site_fract_z
_atom_site_occupancy
Be1 Be 0.000 0.000 0.000 1
Ga1 Ga 0.500 0.500 0.500 1
Cu1 Cu 0.000 0.500 0.500 1
```

=====

Of them, the most stable is version a and the least stable is version c.

=====

Version a
## Be2Ga2Cu (PBE)

Data for a relaxed structure of Be2Ga2Cu.

Summary:
**Magnetic moment**: 0.00 μB per atom

```
data_Be2Ga2Cu
_cell_length_a 5.917
_cell_length_b 5.917
_cell_length_c 3.633
_cell_angle_alpha 90.00
_cell_angle_beta 90.00
_cell_angle_gamma 90.00
_symmetry_space_group_name_H-M 'P 4/m b m'
_symmetry_Int_Tables_number 127
_symmetry_space_group_name_Hall '-P 4 2ab'
loop_
_atom_site_label
_atom_site_type_symbol
_atom_site_fract_x
_atom_site_fract_y
_atom_site_fract_z
_atom_site_occupancy
Be1 Be 0.133 0.367 0.000 1
Ga1 Ga 0.167 0.667 0.500 1
Cu1 Cu 0.000 0.000 0.000 1
```

=====

Version b
## Be2Ga2Cu (PBE)

Data for a relaxed structure of Be2Ga2Cu.

Summary:
**Magnetic moment**: 0.00 μB per atom

```
data_Be2Ga2Cu
_cell_length_a 3.549
_cell_length_b 3.549
_cell_length_c 10.924
_cell_angle_alpha 90.00
_cell_angle_beta 90.00
_cell_angle_gamma 90.00
_symmetry_space_group_name_H-M 'I 4/m m m'
_symmetry_Int_Tables_number 139
_symmetry_space_group_name_Hall '-I 4 2'
loop_
_atom_site_label
_atom_site_type_symbol
_atom_site_fract_x
_atom_site_fract_y
_atom_site_fract_z
_atom_site_occupancy
Be1 Be 0.000 0.000 0.095 1
Ga1 Ga 0.000 0.500 0.250 1
Cu1 Cu 0.000 0.000 0.500 1
```

=====

Of them, the most stable is version a and the least stable is version b.

=====

Version a
## BeCuGe3 (PBE)

Data for a relaxed structure of BeCuGe3.

Summary:
**Magnetic moment**: 0.00 μB per atom

```
data_BeCuGe3
_cell_length_a 4.670
_cell_length_b 4.670
_cell_length_c 4.670
_cell_angle_alpha 90.00
_cell_angle_beta 90.00
_cell_angle_gamma 90.00
_symmetry_space_group_name_H-M 'P m -3 m'
_symmetry_Int_Tables_number 221
_symmetry_space_group_name_Hall '-P 4 2 3'
loop_
_atom_site_label
_atom_site_type_symbol
_atom_site_fract_x
_atom_site_fract_y
_atom_site_fract_z
_atom_site_occupancy
Be1 Be 0.000 0.000 0.000 1
Cu1 Cu 0.500 0.500 0.500 1
Ge1 Ge 0.000 0.500 0.500 1
```

=====

Version b
## BeCuGe3 (PBE)

Data for a relaxed structure of BeCuGe3.

Summary:
**Magnetic moment**: 0.00 μB per atom

```
data_BeCuGe3
_cell_length_a 4.467
_cell_length_b 4.467
_cell_length_c 4.467
_cell_angle_alpha 90.00
_cell_angle_beta 90.00
_cell_angle_gamma 90.00
_symmetry_space_group_name_H-M 'P m -3 m'
_symmetry_Int_Tables_number 221
_symmetry_space_group_name_Hall '-P 4 2 3'
loop_
_atom_site_label
_atom_site_type_symbol
_atom_site_fract_x
_atom_site_fract_y
_atom_site_fract_z
_atom_site_occupancy
Be1 Be 0.000 0.000 0.000 1
Cu1 Cu 0.500 0.500 0.500 1
Ge1 Ge 0.000 0.000 0.500 1
```

=====

Of them, the most stable is version b and the least stable is version a.

=====

Version a
## BeCuGe (PBE)

Data for a relaxed structure of BeCuGe.

Summary:
**Magnetic moment**: 0.00 μB per atom

```
data_BeCuGe
_cell_length_a 5.488
_cell_length_b 5.488
_cell_length_c 5.488
_cell_angle_alpha 90.00
_cell_angle_beta 90.00
_cell_angle_gamma 90.00
_symmetry_space_group_name_H-M 'F -4 3 m'
_symmetry_Int_Tables_number 216
_symmetry_space_group_name_Hall 'F -4 2 3'
loop_
_atom_site_label
_atom_site_type_symbol
_atom_site_fract_x
_atom_site_fract_y
_atom_site_fract_z
_atom_site_occupancy
Be1 Be 0.000 0.000 0.000 1
Cu1 Cu 0.250 0.250 0.750 1
Ge1 Ge 0.000 0.000 0.500 1
```

=====

Version b
## BeCuGe (PBE)

Data for a relaxed structure of BeCuGe.

Summary:
**Magnetic moment**: 0.00 μB per atom

```
data_BeCuGe
_cell_length_a 2.697
_cell_length_b 2.697
_cell_length_c 22.046
_cell_angle_alpha 90.00
_cell_angle_beta 90.00
_cell_angle_gamma 90.00
_symmetry_space_group_name_H-M 'I 4/m m m'
_symmetry_Int_Tables_number 139
_symmetry_space_group_name_Hall '-I 4 2'
loop_
_atom_site_label
_atom_site_type_symbol
_atom_site_fract_x
_atom_site_fract_y
_atom_site_fract_z
_atom_site_occupancy
Be1 Be 0.000 0.000 0.224 1
Cu1 Cu 0.000 0.000 0.336 1
Ge1 Ge 0.000 0.000 0.074 1
```

=====

Of them, the most stable is version b and the least stable is version a.

=====

Version a
## BeCu2Ge2 (PBE)

Data for a relaxed structure of BeCu2Ge2.

Summary:
**Magnetic moment**: 0.00 μB per atom

```
data_BeCu2Ge2
_cell_length_a 6.120
_cell_length_b 6.120
_cell_length_c 3.830
_cell_angle_alpha 90.00
_cell_angle_beta 90.00
_cell_angle_gamma 90.00
_symmetry_space_group_name_H-M 'P 4/m b m'
_symmetry_Int_Tables_number 127
_symmetry_space_group_name_Hall '-P 4 2ab'
loop_
_atom_site_label
_atom_site_type_symbol
_atom_site_fract_x
_atom_site_fract_y
_atom_site_fract_z
_atom_site_occupancy
Be1 Be 0.000 0.000 0.000 1
Cu1 Cu 0.149 0.351 0.000 1
Ge1 Ge 0.166 0.666 0.500 1
```

=====

Version b
## BeCu2Ge2 (PBE)

Data for a relaxed structure of BeCu2Ge2.

Summary:
**Magnetic moment**: 0.00 μB per atom

```
data_BeCu2Ge2
_cell_length_a 6.136
_cell_length_b 6.136
_cell_length_c 3.897
_cell_angle_alpha 90.00
_cell_angle_beta 90.00
_cell_angle_gamma 90.00
_symmetry_space_group_name_H-M 'P 4/m b m'
_symmetry_Int_Tables_number 127
_symmetry_space_group_name_Hall '-P 4 2ab'
loop_
_atom_site_label
_atom_site_type_symbol
_atom_site_fract_x
_atom_site_fract_y
_atom_site_fract_z
_atom_site_occupancy
Be1 Be 0.000 0.000 0.000 1
Cu1 Cu 0.152 0.348 0.500 1
Ge1 Ge 0.152 0.652 0.000 1
```

=====

Of them, the most stable is version a and the least stable is version b.

=====

Version a
## Be2Cu2Ge (PBE)

Data for a relaxed structure of Be2Cu2Ge.

Summary:
**Magnetic moment**: 0.00 μB per atom

```
data_Be2Cu2Ge
_cell_length_a 6.722
_cell_length_b 6.722
_cell_length_c 2.602
_cell_angle_alpha 90.00
_cell_angle_beta 90.00
_cell_angle_gamma 90.00
_symmetry_space_group_name_H-M 'P 4/m b m'
_symmetry_Int_Tables_number 127
_symmetry_space_group_name_Hall '-P 4 2ab'
loop_
_atom_site_label
_atom_site_type_symbol
_atom_site_fract_x
_atom_site_fract_y
_atom_site_fract_z
_atom_site_occupancy
Be1 Be 0.164 0.336 0.000 1
Cu1 Cu 0.131 0.631 0.500 1
Ge1 Ge 0.000 0.000 0.500 1
```

=====

Version b
## Be2Cu2Ge (PBE)

Data for a relaxed structure of Be2Cu2Ge.

Summary:
**Magnetic moment**: 0.00 μB per atom

```
data_Be2Cu2Ge
_cell_length_a 6.306
_cell_length_b 6.306
_cell_length_c 2.924
_cell_angle_alpha 90.00
_cell_angle_beta 90.00
_cell_angle_gamma 90.00
_symmetry_space_group_name_H-M 'P 4/m b m'
_symmetry_Int_Tables_number 127
_symmetry_space_group_name_Hall '-P 4 2ab'
loop_
_atom_site_label
_atom_site_type_symbol
_atom_site_fract_x
_atom_site_fract_y
_atom_site_fract_z
_atom_site_occupancy
Be1 Be 0.134 0.366 0.000 1
Cu1 Cu 0.154 0.654 0.500 1
Ge1 Ge 0.000 0.000 0.000 1
```

=====

Of them, the most stable is version a and the least stable is version b.

=====

Version a
## BeCu3Ge (PBE)

Data for a relaxed structure of BeCu3Ge.

Summary:
**Magnetic moment**: 0.00 μB per atom

```
data_BeCu3Ge
_cell_length_a 4.449
_cell_length_b 4.449
_cell_length_c 4.449
_cell_angle_alpha 90.00
_cell_angle_beta 90.00
_cell_angle_gamma 90.00
_symmetry_space_group_name_H-M 'P m -3 m'
_symmetry_Int_Tables_number 221
_symmetry_space_group_name_Hall '-P 4 2 3'
loop_
_atom_site_label
_atom_site_type_symbol
_atom_site_fract_x
_atom_site_fract_y
_atom_site_fract_z
_atom_site_occupancy
Be1 Be 0.000 0.000 0.000 1
Cu1 Cu 0.000 0.500 0.500 1
Ge1 Ge 0.500 0.500 0.500 1
```

=====

Version b
## BeCu3Ge (PBE)

Data for a relaxed structure of BeCu3Ge.

Summary:
**Magnetic moment**: 0.00 μB per atom

```
data_BeCu3Ge
_cell_length_a 4.110
_cell_length_b 4.110
_cell_length_c 4.110
_cell_angle_alpha 90.00
_cell_angle_beta 90.00
_cell_angle_gamma 90.00
_symmetry_space_group_name_H-M 'P m -3 m'
_symmetry_Int_Tables_number 221
_symmetry_space_group_name_Hall '-P 4 2 3'
loop_
_atom_site_label
_atom_site_type_symbol
_atom_site_fract_x
_atom_site_fract_y
_atom_site_fract_z
_atom_site_occupancy
Be1 Be 0.000 0.000 0.000 1
Cu1 Cu 0.000 0.000 0.500 1
Ge1 Ge 0.500 0.500 0.500 1
```

=====

Of them, the most stable is version b and the least stable is version a.